The following is a PBE calculation of a relaxed structure of UNCl3, from the Alexandria database.

Results
The calculation puts the mass density at 3.7 Mg/m³. For the density of states at the Fermi level, the calculation gives 11.67 states/eV/cell. The value obtained for the formation energy from raw total energies is -0.217 eV/atom.

Structure (CIF):
```
data_UNCl3
_cell_length_a 5.882
_cell_length_b 5.883
_cell_length_c 10.071
_cell_angle_alpha 95.92
_cell_angle_beta 95.77
_cell_angle_gamma 69.69
_space_group_name_H-M_alt 'P 1'
_space_group_IT_number 1
loop_
_space_group_symop_operation_xyz
'x,y,z'
loop_
_atom_site_label
_atom_site_fract_x
_atom_site_fract_y
_atom_site_fract_z
_atom_site_occupancy
Cl1 0.594 0.559 0.321 1
Cl2 0.147 0.114 0.734 1
Cl3 0.222 0.186 0.321 1
Cl4 0.444 0.410 0.603 1
Cl5 0.925 0.890 0.452 1
Cl6 0.774 0.741 0.734 1
N1 0.488 0.453 0.962 1
N2 0.879 0.846 0.092 1
U1 0.434 0.900 0.527 1
U2 0.934 0.400 0.527 1
```